This record from Alexandria via LeMat-Bulk describes a relaxed structure of LiRu3F. The functional is PBE.

Structure (POSCAR):
```
LiRu3F
1.0
4.1867 0.0000 0.0000
0.0000 4.1867 0.0000
0.0000 0.0000 4.1867
Li Ru F
1 3 1
Cartesian
0.0000 0.0000 0.0000 Li
0.0000 0.0000 2.0933 Ru
0.0000 2.0933 0.0000 Ru
2.0933 0.0000 0.0000 Ru
2.0933 2.0933 2.0933 F
```

E above lowest polymorph	457	meV per atom
energy relative to the elements, uncorrected	1456	meV/atom

---

This record from Alexandria via LeMat-Bulk describes a relaxed structure of Li3RuF7. The functional is PBE.

Structure (POSCAR):
```
Li3RuF7
1.0
3.3303 -3.8415 0.0000
3.3303 3.8415 0.0000
-3.0208 0.0000 4.7718
Li Ru F
3 1 7
Cartesian
0.0000 0.0000 0.0000 Li
1.7394 1.6674 2.9361 Li
1.7394 -1.6674 2.9361 Li
3.0226 0.0000 0.3594 Ru
-1.3814 0.0000 3.6618 F
0.0753 1.7933 4.1983 F
1.2874 0.0000 1.4360 F
3.5019 1.2790 1.7804 F
0.0753 -1.7933 4.1983 F
1.8135 0.0000 4.2055 F
3.5019 -1.2790 1.7804 F
```

energy relative to the elements, uncorrected	-2303	meV/atom

---

This record from Alexandria via LeMat-Bulk describes a relaxed structure of Li3RuF6. The functional is PBE.

Structure (POSCAR):
```
Li3RuF6
1.0
0.0000 3.9467 3.9467
3.9467 0.0000 3.9467
3.9467 3.9467 0.0000
Li Ru F
3 1 6
Cartesian
0.0000 0.0000 0.0000 Li
1.9734 1.9734 1.9734 Li
5.9201 5.9201 5.9201 Li
3.9467 3.9467 3.9467 Ru
3.9467 3.9467 1.9481 F
3.9467 1.9481 3.9467 F
5.9453 3.9467 3.9467 F
1.9481 3.9467 3.9467 F
3.9467 5.9453 3.9467 F
3.9467 3.9467 5.9453 F
```

E above lowest polymorph	204	meV per atom
energy relative to the elements, uncorrected	-2177	meV/atom

---

This record from Alexandria via LeMat-Bulk describes a relaxed structure of Li3RuF. The functional is PBE.

Structure (POSCAR):
```
Li3RuF
1.0
3.9437 0.0000 0.0000
0.0000 3.9437 0.0000
0.0000 0.0000 3.9437
Li Ru F
3 1 1
Cartesian
0.0000 0.0000 1.9718 Li
0.0000 1.9718 0.0000 Li
1.9718 0.0000 0.0000 Li
1.9718 1.9718 1.9718 Ru
0.0000 0.0000 0.0000 F
```

E above lowest polymorph	0	meV per atom
energy relative to the elements, uncorrected	-549	meV/atom

---

This record from Alexandria via LeMat-Bulk describes a relaxed structure of Li2RuF7. The functional is PBE.

Structure (POSCAR):
```
Li2RuF7
1.0
4.7700 -3.1314 0.0000
4.7700 3.1314 0.0000
-3.8347 0.0000 8.5026
Li Ru F
4 2 14
Cartesian
0.5533 1.8831 7.4692 Li
3.2347 1.8831 5.2847 Li
2.4707 -1.8831 3.2179 Li
5.1521 -1.8831 1.0334 Li
3.8114 1.1620 2.1256 Ru
1.8940 -1.1620 6.3769 Ru
3.9882 2.7593 0.9726 F
3.6345 2.7593 3.2787 F
1.8604 1.1287 2.2344 F
3.6056 0.5943 0.3018 F
1.8940 0.8451 6.3769 F
-0.0569 -1.1287 6.4857 F
1.6883 -0.5943 4.5531 F
4.0171 0.5943 3.9495 F
5.7623 1.1287 2.0168 F
3.8114 -0.8451 2.1256 F
2.0998 -0.5943 8.2008 F
3.8449 -1.1287 6.2681 F
2.0709 -2.7593 5.2239 F
1.7172 -2.7593 7.5300 F
```

energy relative to the elements, uncorrected	-2117	meV/atom

---

This record from Alexandria via LeMat-Bulk describes a relaxed structure of LiRu2F. The functional is PBE.

Structure (POSCAR):
```
LiRu2F
1.0
0.0000 2.9433 2.9433
2.9433 0.0000 2.9433
2.9433 2.9433 0.0000
Li Ru F
1 2 1
Cartesian
0.0000 0.0000 0.0000 Li
1.4716 1.4716 1.4716 Ru
4.4149 4.4149 4.4149 Ru
2.9433 2.9433 2.9433 F
```

E above lowest polymorph	477	meV per atom
energy relative to the elements, uncorrected	639	meV/atom

---

What is the energy relative to the elements, uncorrected in the third record?
-2177 meV/atom